*w*
Li8TiS6 | PBE-GGA | relaxed

Cell lengths 6.9014, 6.9014, 13.4502 Å; angles 90.00, 90.00, 120.00 degrees
Fractional positions:
S: 0.3134 0.3134 0.9502
S: 0.0000 0.3134 0.4502
S: 0.6866 0.0000 0.9502
S: 0.0000 0.6866 0.9502
S: 0.0000 0.0000 0.1702
S: 0.3333 0.6667 0.2163
S: 0.3134 0.0000 0.4502
S: 0.0000 0.0000 0.6702
S: 0.6667 0.3333 0.2163
S: 0.6866 0.6866 0.4502
S: 0.6667 0.3333 0.7163
S: 0.3333 0.6667 0.7163
Ti: 0.0000 0.0000 0.4982
Ti: 0.0000 0.0000 0.9982
Li: 0.3754 0.0000 0.6309
Li: 0.6805 0.6805 0.2663
Li: 0.3195 0.3195 0.7663
Li: 0.3333 0.6667 0.9013
Li: 0.0000 0.6246 0.1309
Li: 0.0000 0.3195 0.2663
Li: 0.0000 0.6805 0.7663
Li: 0.6667 0.3333 0.9013
Li: 0.3754 0.3754 0.1309
Li: 0.6246 0.0000 0.1309
Li: 0.6246 0.6246 0.6309
Li: 0.6805 0.0000 0.7663
Li: 0.0000 0.3754 0.6309
Li: 0.6667 0.3333 0.4013
Li: 0.3333 0.6667 0.4013
Li: 0.3195 0.0000 0.2663

Computed properties:
DOS(E_F), states/eV/f.u.: 0.0
Space-group type: P6_3cm, No. 185

***

*x*
Li8TiS6 | PBE-GGA | relaxed

Cell lengths 7.0262, 10.1791, 14.7904 Å; angles 90.00, 90.00, 90.00 degrees
Fractional positions:
Li: 0.5533 0.8482 0.5435
Li: 0.3258 0.7154 0.4272
Li: 0.6372 0.5129 0.8881
Li: 0.9888 0.4485 0.7867
Li: 0.4456 0.3207 0.7833
Li: 0.9456 0.8207 0.7167
Li: 0.3628 0.0129 0.1119
Li: 0.9467 0.8482 0.0435
Li: 0.8628 0.5129 0.3881
Li: 0.0533 0.3482 0.9565
Li: 0.0112 0.9485 0.2133
Li: 0.8258 0.2154 0.0728
Li: 0.1018 0.6609 0.2564
Li: 0.0366 0.3085 0.4718
Li: 0.1372 0.0129 0.6119
Li: 0.7000 0.0418 0.9302
Li: 0.4634 0.3085 0.9718
Li: 0.0544 0.3207 0.2833
Li: 0.8000 0.0418 0.4302
Li: 0.2000 0.5418 0.5698
Li: 0.1742 0.7154 0.9272
Li: 0.9634 0.8085 0.5282
Li: 0.6742 0.2154 0.5728
Li: 0.4467 0.3482 0.4565
Li: 0.4888 0.9485 0.7133
Li: 0.5112 0.4485 0.2867
Li: 0.8982 0.1609 0.7436
Li: 0.5544 0.8207 0.2167
Li: 0.6018 0.1609 0.2436
Li: 0.5366 0.8085 0.0282
Li: 0.3000 0.5418 0.0698
Li: 0.3982 0.6609 0.7564
Ti: 0.2770 0.0140 0.3744
Ti: 0.7770 0.5140 0.1256
Ti: 0.7230 0.5140 0.6256
Ti: 0.2230 0.0140 0.8744
S: 0.2481 0.7767 0.1194
S: 0.7519 0.2767 0.8806
S: 0.2253 0.1445 0.9966
S: 0.7253 0.6445 0.5034
S: 0.4536 0.3954 0.6250
S: 0.9617 0.3636 0.6280
S: 0.0383 0.8636 0.3720
S: 0.2477 0.1281 0.2445
S: 0.4617 0.8636 0.8720
S: 0.2824 0.4955 0.8837
S: 0.7481 0.2767 0.3806
S: 0.7523 0.6281 0.7555
S: 0.7176 0.9955 0.1163
S: 0.2523 0.1281 0.7445
S: 0.9536 0.8954 0.8750
S: 0.5383 0.3636 0.1280
S: 0.0464 0.3954 0.1250
S: 0.2747 0.1445 0.4966
S: 0.7477 0.6281 0.2555
S: 0.7747 0.6445 0.0034
S: 0.5464 0.8954 0.3750
S: 0.2176 0.4955 0.3837
S: 0.2519 0.7767 0.6194
S: 0.7824 0.9955 0.6163

Computed properties:
DOS(E_F), states/eV/f.u.: 0.0
Space-group type: Pna2_1, No. 33

***

Which is most stable? The ranking, best first, is *w*, *x*.

***

*w*
Li8TiS6 | PBE-GGA | relaxed

Cell lengths 7.2253, 7.2253, 7.2253 Å; angles 55.34, 55.34, 55.34 degrees
Fractional positions:
Li: 0.4811 0.1058 0.7720
Li: 0.7720 0.4811 0.1058
Li: 0.6621 0.6621 0.6621
Li: 0.3379 0.3379 0.3379
Li: 0.2280 0.5189 0.8942
Li: 0.8942 0.2280 0.5189
Li: 0.5189 0.8942 0.2280
Li: 0.1058 0.7720 0.4811
S: 0.9137 0.6204 0.2356
S: 0.2356 0.9137 0.6204
S: 0.3796 0.7644 0.0863
S: 0.0863 0.3796 0.7644
S: 0.6204 0.2356 0.9137
S: 0.7644 0.0863 0.3796
Ti: 0.0000 0.0000 0.0000

Computed properties:
Space-group type: R-3, No. 148

***

*x*
Li8TiS6 | PBE-GGA | relaxed

Cell lengths 7.4270, 6.9915, 10.4595 Å; angles 90.00, 90.00, 90.00 degrees
Fractional positions:
Li: 0.0744 0.2898 0.6686
Li: 0.5597 0.7819 0.1770
Li: 0.7423 0.5000 0.0161
Li: 0.9256 0.7898 0.1686
Li: 0.6334 0.5000 0.4537
Li: 0.7630 0.7775 0.8446
Li: 0.2577 0.0000 0.5161
Li: 0.7630 0.2225 0.8446
Li: 0.0744 0.7102 0.6686
Li: 0.4403 0.7181 0.6770
Li: 0.4403 0.2819 0.6770
Li: 0.3666 0.0000 0.9537
Li: 0.2370 0.7225 0.3446
Li: 0.2370 0.2775 0.3446
Li: 0.9256 0.2102 0.1686
Li: 0.5597 0.2181 0.1770
S: 0.9884 0.5000 0.8615
S: 0.2547 0.0000 0.7326
S: 0.2454 0.2435 0.1111
S: 0.7453 0.5000 0.2326
S: 0.0116 0.0000 0.3615
S: 0.2454 0.7565 0.1111
S: 0.5058 0.5000 0.8630
S: 0.7546 0.2565 0.6111
S: 0.7204 0.0000 0.0230
S: 0.4942 0.0000 0.3630
S: 0.7546 0.7435 0.6111
S: 0.2796 0.5000 0.5230
Ti: 0.7530 0.0000 0.4836
Ti: 0.2470 0.5000 0.9836

Computed properties:
DOS(E_F), states/eV/f.u.: 0.0
Space-group type: Pmn2_1, No. 31

***

Which is most stable? The ranking, best first, is *w*, *x*.

***

*w*
Li2TiS3 | PBE-GGA | relaxed

Cell lengths 6.1241, 6.2388, 6.2388 Å; angles 118.42, 100.52, 100.52 degrees
Fractional positions:
Li: 0.7500 0.0875 0.9125
Li: 0.2500 0.9125 0.0875
Li: 0.7500 0.7486 0.2514
Li: 0.2500 0.2514 0.7486
S: 0.5000 0.0000 0.5000
S: 0.0078 0.8029 0.6538
S: 0.5078 0.6538 0.8029
S: 0.4922 0.3462 0.1971
S: 0.0000 0.5000 0.0000
S: 0.9922 0.1971 0.3462
Ti: 0.7500 0.4148 0.5852
Ti: 0.2500 0.5852 0.4148

Computed properties:
Space-group type: C2/c, No. 15

***

*x*
Li2TiS3 | PBE-GGA | relaxed

Cell lengths 6.1796, 6.3366, 6.1822 Å; angles 80.54, 60.01, 70.80 degrees
Fractional positions:
S: 0.5697 0.2331 0.3520
S: 0.4303 0.7669 0.6480
S: 0.0783 0.7669 0.3520
S: 0.2735 0.2344 0.0000
S: 0.7265 0.7656 0.0000
S: 0.9217 0.2331 0.6480
Li: 0.0000 0.0000 0.0000
Li: 0.1626 0.5000 0.6747
Li: 0.5000 0.5000 0.0000
Li: 0.8374 0.5000 0.3253
Ti: 0.6680 0.0000 0.6641
Ti: 0.3320 0.0000 0.3359

Computed properties:
Space-group type: C2/m, No. 12

***

Which is most stable? The ranking, best first, is *x*, *w*.

***

*w*
LiTi3S6 | PBE-GGA | relaxed

Cell lengths 6.1160, 6.1160, 6.6552 Å; angles 62.65, 62.65, 60.00 degrees
Fractional positions:
S: 0.0752 0.4172 0.7585
S: 0.4172 0.7491 0.7585
S: 0.2757 0.9189 0.2543
S: 0.9189 0.5511 0.2543
S: 0.7491 0.0752 0.7585
S: 0.5511 0.2757 0.2543
Ti: 0.1627 0.1627 0.5120
Ti: 0.3359 0.3359 0.9924
Ti: 0.6666 0.6666 0.0001
Li: 0.8476 0.8476 0.4571

Computed properties:
DOS(E_F), states/eV/f.u.: 5.4
Space-group type: R3, No. 146

***

*x*
LiTi3S6 | PBE-GGA | relaxed

Cell lengths 3.4219, 3.4219, 18.8665 Å; angles 90.00, 90.00, 120.00 degrees
Fractional positions:
S: 0.6667 0.3333 0.2591
S: 0.6667 0.3333 0.9248
S: 0.3333 0.6667 0.4129
S: 0.3333 0.6667 0.0752
S: 0.3333 0.6667 0.7409
S: 0.6667 0.3333 0.5871
Ti: 0.0000 0.0000 0.6674
Ti: 0.0000 0.0000 0.3326
Ti: 0.0000 0.0000 0.0000
Li: 0.0000 0.0000 0.5000

Computed properties:
DOS(E_F), states/eV/f.u.: 4.2
Space-group type: P-3m1, No. 164

***

*y*
LiTi3S6 | PBE-GGA | relaxed

Cell lengths 6.0830, 7.6244, 7.6244 Å; angles 102.32, 90.00, 90.00 degrees
Last column: magnetic moment on the atom in μB.
Fractional positions:
S: 0.2334 0.4627 0.8987  -0.02
S: 0.6194 0.2298 0.7702  -0.02
S: 0.7334 0.5373 0.1013  -0.02
S: 0.1194 0.7702 0.2298  -0.02
S: 0.6825 0.3011 0.3711  -0.02
S: 0.1745 0.0309 0.9691  -0.02
S: 0.6825 0.6289 0.6989  -0.02
S: 0.6745 0.9691 0.0309  -0.02
S: 0.7334 0.8987 0.4627  -0.02
S: 0.1825 0.6989 0.6289  -0.02
S: 0.2334 0.1013 0.5373  -0.02
S: 0.1825 0.3711 0.3011  -0.02
Ti: 0.8801 0.5974 0.4026  0.17
Ti: 0.4892 0.9253 0.7243  0.35
Ti: 0.4892 0.2757 0.0747  0.35
Ti: 0.3801 0.4026 0.5974  0.17
Ti: 0.9892 0.7243 0.9253  0.35
Ti: 0.9892 0.0747 0.2757  0.35
Li: 0.5010 0.7903 0.2097  0.00
Li: 0.0010 0.2097 0.7903  0.00

Computed properties:
DOS(E_F), states/eV/f.u.: 4.1
Space-group type: Cmc2_1, No. 36

***

Which is most stable? The ranking, best first, is *x*, *w*, *y*.

***

*w*
Li3TiS | PBE-GGA | relaxed

Cell lengths 5.0294, 5.0294, 5.0294 Å; angles 90.00, 90.00, 90.00 degrees
Last column: magnetic moment on the atom in μB.
Fractional positions:
Li: 0.0000 0.5000 0.0000  0.03
Li: 0.0000 0.0000 0.5000  0.02
Li: 0.5000 0.0000 0.0000  0.04
Ti: 0.0000 0.0000 0.0000  2.17
S: 0.5000 0.5000 0.5000  -0.10

Computed properties:
DOS(E_F), states/eV/f.u.: 4.5
Space-group type: Pm-3m, No. 221

***

*x*
Li3TiS | PBE-GGA | relaxed

Cell lengths 4.5064, 4.5064, 4.5064 Å; angles 90.00, 90.00, 90.00 degrees
Fractional positions:
Ti: 0.5000 0.5000 0.5000
Li: 0.0000 0.5000 0.0000
Li: 0.0000 0.0000 0.5000
Li: 0.5000 0.0000 0.0000
S: 0.0000 0.0000 0.0000

Computed properties:
DOS(E_F), states/eV/f.u.: 7.4
Space-group type: Pm-3m, No. 221

***

Which is most stable? The ranking, best first, is *x*, *w*.

***

*w*
LiTiS3 | PBE-GGA | relaxed

Cell lengths 4.3297, 4.3297, 4.3297 Å; angles 90.00, 90.00, 90.00 degrees
Fractional positions:
S: 0.5000 0.0000 0.0000
S: 0.0000 0.0000 0.5000
S: 0.0000 0.5000 0.0000
Ti: 0.5000 0.5000 0.5000
Li: 0.0000 0.0000 0.0000

Computed properties:
DOS(E_F), states/eV/f.u.: 4.9
Space-group type: Pm-3m, No. 221

***

*x*
LiTiS3 | PBE-GGA | relaxed

Cell lengths 4.7137, 4.7137, 4.7137 Å; angles 90.00, 90.00, 90.00 degrees
Fractional positions:
Li: 0.5000 0.5000 0.5000
S: 0.0000 0.0000 0.5000
S: 0.5000 0.0000 0.0000
S: 0.0000 0.5000 0.0000
Ti: 0.0000 0.0000 0.0000

Computed properties:
DOS(E_F), states/eV/f.u.: 2.0
Space-group type: Pm-3m, No. 221

***

Which is most stable? The ranking, best first, is *x*, *w*.

***

*w*
Li2TlS2 | PBE-GGA | relaxed

Cell lengths 4.7708, 4.7708, 6.0688 Å; angles 66.85, 66.85, 90.00 degrees
Fractional positions:
Li: 0.3020 0.3020 0.3961
Li: 0.6980 0.6980 0.6039
S: 0.7500 0.2500 0.5000
S: 0.2500 0.7500 0.5000
Tl: 0.0000 0.0000 0.0000

Computed properties:
DOS(E_F), states/eV/f.u.: 4.1
Space-group type: I4/mmm, No. 139

***

*x*
Li2TlS2 | PBE-GGA | relaxed

Cell lengths 7.8138, 7.8138, 3.0242 Å; angles 90.00, 90.00, 90.00 degrees
Fractional positions:
Li: 0.6251 0.1251 0.0000
Li: 0.8749 0.6251 0.0000
Li: 0.3749 0.8749 0.0000
Li: 0.1251 0.3749 0.0000
S: 0.1650 0.6650 0.5000
S: 0.3350 0.1650 0.5000
S: 0.8350 0.3350 0.5000
S: 0.6650 0.8350 0.5000
Tl: 0.5000 0.5000 0.0000
Tl: 0.0000 0.0000 0.0000

Computed properties:
DOS(E_F), states/eV/f.u.: 0.7
Space-group type: P4/mbm, No. 127

***

Which is most stable? The ranking, best first, is *x*, *w*.

***

*w*
Li3TlS | PBE-GGA | relaxed

Cell lengths 4.6753, 4.6753, 4.6753 Å; angles 90.00, 90.00, 90.00 degrees
Fractional positions:
Li: 0.5000 0.0000 0.0000
Li: 0.0000 0.0000 0.5000
Li: 0.0000 0.5000 0.0000
Tl: 0.5000 0.5000 0.5000
S: 0.0000 0.0000 0.0000

Computed properties:
DOS(E_F), states/eV/f.u.: 2.7
Space-group type: Pm-3m, No. 221

***

*x*
Li3TlS | PBE-GGA | relaxed

Cell lengths 5.0304, 5.0304, 5.0304 Å; angles 90.00, 90.00, 90.00 degrees
Last column: magnetic moment on the atom in μB.
Fractional positions:
Tl: 0.0000 0.0000 0.0000  0.36
Li: 0.5000 0.0000 0.0000  0.02
Li: 0.0000 0.0000 0.5000  0.05
Li: 0.0000 0.5000 0.0000  0.03
S: 0.5000 0.5000 0.5000  0.00

Computed properties:
DOS(E_F), states/eV/f.u.: 4.1
Space-group type: Pm-3m, No. 221

***

Which is most stable? The ranking, best first, is *w*, *x*.